The following is a PBE-GGA calculation of crystalline LiAc3Ga2Pd9 at its relaxed geometry, from Alexandria.

```
LiAc3Ga2Pd9
1.0
-3.820 -5.871 -0.996
6.153 0.835 -3.391
3.469 -3.191 5.509
Ga Pd Ac Li
2 9 3 1
direct
0.333 0.667 0.185
0.667 0.333 0.815
0.157 0.313 0.333
0.000 0.500 0.000
0.500 0.500 0.000
0.313 0.157 0.667
0.157 0.843 0.333
0.843 0.157 0.667
0.687 0.843 0.333
0.500 0.000 0.000
0.843 0.687 0.667
0.000 0.000 0.000
0.333 0.667 0.664
0.667 0.333 0.336
0.000 0.000 0.500
```

Calculated values
Space group   P-3m1, No. 164


The following is a PBE-GGA calculation of crystalline Li2AcGaPd4 at its relaxed geometry, from Alexandria.

```
Li2AcGaPd4
1.0
4.317 0.000 0.000
2.158 3.738 0.000
2.158 1.246 8.835
Pd Li Ga Ac
4 2 1 1
direct
0.133 0.133 0.601
0.404 0.404 0.789
0.596 0.596 0.211
0.867 0.867 0.399
0.767 0.767 0.698
0.233 0.233 0.302
0.500 0.500 0.500
0.000 0.000 0.000
```

Calculated values
Space group   R-3m, No. 166


no.,ρ (g/cm3),DFT total energy (eV per cell),DFT formation energy (meV/atom)
1,9.43,-75.75,-581
2,8.58,-36.80,-634